The following is a DFT calculation (SCAN) of FeC4 at its PBEsol-relaxed geometry.

abc: 2.5554 2.5554 5.9426
angles: 90.00 90.00 120.00
Atoms (fractional coordinates):
Fe 0.0000 0.0000 0.0000
C 0.3333 0.6667 0.2070
C 0.3333 0.6667 0.4551
C 0.6667 0.3333 0.5449
C 0.6667 0.3333 0.7930

Summary:
ΔE_f = 576 meV per atom
space-group type = P-3m1 (164)
total DFT energy (no corrections) = -11.13 eV per atom

The following is a DFT calculation (SCAN) of BaSr2Br2 at its PBEsol-relaxed geometry.

abc: 8.4019 8.4019 8.4019
angles: 142.76 142.76 53.69
Atoms (fractional coordinates):
Ba 0.0000 0.0000 0.0000
Sr 0.3606 0.3606 0.0000
Sr 0.6394 0.6394 0.0000
Br 0.2500 0.7500 0.5000
Br 0.7500 0.2500 0.5000

Summary:
formation energy without anion corrections = -1.218 eV/atom
space-group type = I4/mmm (139)
total DFT energy (no corrections) = -25.82 eV per atom

The following is a DFT calculation (SCAN) of CsAlTe3 at its PBEsol-relaxed geometry.

abc: 6.1434 6.1434 6.1434
angles: 90.00 90.00 90.00
Atoms (fractional coordinates):
Cs 0.0000 0.0000 0.0000
Al 0.5000 0.5000 0.5000
Te 0.0000 0.0000 0.5000
Te 0.0000 0.5000 0.0000
Te 0.5000 0.0000 0.0000

Summary:
formation energy without anion corrections = 1.118 eV/atom
space-group type = Pm-3m (221)
distance to the lowest polymorph of the same formula = 1872 meV/atom
total DFT energy (no corrections) = -30.34 eV per atom

The following is a DFT calculation (SCAN) of TaTc3Ag at its PBEsol-relaxed geometry.

abc: 4.6521 4.6521 4.6521
angles: 90.00 90.00 90.00
Atoms (fractional coordinates):
Ta 0.0000 0.0000 0.0000
Tc 0.0000 0.0000 0.5000
Tc 0.0000 0.5000 0.0000
Tc 0.5000 0.0000 0.0000
Ag 0.5000 0.5000 0.5000

Summary:
ΔE_f = 1790 meV per atom
space-group type = Pm-3m (221)
total DFT energy (no corrections) = -38.84 eV per atom

The following is a DFT calculation (SCAN) of BaZr2SiTe at its PBEsol-relaxed geometry.

abc: 5.0212 5.0212 5.9925
angles: 90.00 90.00 90.00
Atoms (fractional coordinates):
Ba 0.0000 0.0000 0.0000
Zr 0.0000 0.5000 0.5000
Zr 0.5000 0.0000 0.5000
Si 0.0000 0.0000 0.5000
Te 0.5000 0.5000 0.0000

Summary:
formation energy without anion corrections = -0.020 eV/atom
space-group type = P4/mmm (123)
total DFT energy (no corrections) = -29.66 eV per atom

The following is a DFT calculation (SCAN) of CdFeSb2I at its PBEsol-relaxed geometry.

abc: 5.3957 5.3957 5.6729
angles: 90.00 90.00 90.00
Atoms (fractional coordinates):
Cd 0.0000 0.0000 0.0000
Fe 0.5000 0.5000 0.5000
Sb 0.0000 0.5000 0.0000
Sb 0.5000 0.0000 0.0000
I 0.0000 0.0000 0.5000

Summary:
formation energy without anion corrections = 1.157 eV/atom
space-group type = P4/mmm (123)
total DFT energy (no corrections) = -30.80 eV per atom

The following is a DFT calculation (SCAN) of MnReSeBr2 at its PBEsol-relaxed geometry.

abc: 5.1568 5.1568 4.6833
angles: 90.00 90.00 90.00
Atoms (fractional coordinates):
Mn 0.0000 0.0000 0.0000
Re 0.5000 0.5000 0.5000
Se 0.5000 0.5000 0.0000
Br 0.0000 0.5000 0.5000
Br 0.5000 0.0000 0.5000

Summary:
formation energy without anion corrections = 0.496 eV/atom
space-group type = P4/mmm (123)
total DFT energy (no corrections) = -29.17 eV per atom

The following is a DFT calculation (SCAN) of BeCo2Os at its PBEsol-relaxed geometry.

abc: 2.8012 3.7938 4.0400
angles: 90.00 90.00 90.00
Atoms (fractional coordinates):
Be 0.0000 0.0000 0.0000
Co 0.0000 0.5000 0.5000
Co 0.5000 0.0000 0.5000
Os 0.5000 0.5000 0.0000

Summary:
ΔE_f = 0 meV per atom
space-group type = Pmmm (47)
total DFT energy (no corrections) = -27.71 eV per atom

The following is a DFT calculation (SCAN) of CaTl3C at its PBEsol-relaxed geometry.

abc: 4.9890 4.9890 4.9890
angles: 90.00 90.00 90.00
Atoms (fractional coordinates):
Ca 0.0000 0.0000 0.0000
Tl 0.0000 0.5000 0.5000
Tl 0.5000 0.0000 0.5000
Tl 0.5000 0.5000 0.0000
C 0.5000 0.5000 0.5000

Summary:
ΔE_f = 771 meV per atom
space-group type = Pm-3m (221)
total DFT energy (no corrections) = -46.60 eV per atom

The following is a DFT calculation (SCAN) of MgWF5 at its PBEsol-relaxed geometry.

abc: 5.2881 5.2881 7.3806
angles: 106.86 106.86 75.47
Atoms (fractional coordinates):
Mg 0.0198 0.9802 0.7500
Mg 0.9802 0.0198 0.2500
W 0.5000 0.5000 0.0000
W 0.5000 0.5000 0.5000
F 0.1764 0.7997 0.0466
F 0.2003 0.8236 0.4534
F 0.2013 0.2899 0.3463
F 0.2899 0.2013 0.8463
F 0.3516 0.6484 0.7500
F 0.6484 0.3516 0.2500
F 0.7101 0.7987 0.1537
F 0.7987 0.7101 0.6537
F 0.7997 0.1764 0.5466
F 0.8236 0.2003 0.9534

Summary:
formation energy without anion corrections = -2.710 eV/atom
space-group type = C2/c (15)
distance to the lowest polymorph of the same formula = 0 meV/atom
total DFT energy (no corrections) = -15.90 eV per atom

The following is a DFT calculation (SCAN) of La3Mg at its PBEsol-relaxed geometry.

abc: 5.6295 7.1934 6.2119
angles: 90.00 90.00 90.00
Atoms (fractional coordinates):
La 0.2500 0.0032 0.1787
La 0.2500 0.4968 0.1787
La 0.2500 0.7500 0.6435
La 0.7500 0.2500 0.3565
La 0.7500 0.5032 0.8213
La 0.7500 0.9968 0.8213
Mg 0.2500 0.2500 0.6792
Mg 0.7500 0.7500 0.3208

Summary:
ΔE_f = -39 meV per atom
space-group type = Pmmn (59)
total DFT energy (no corrections) = -33.61 eV per atom

The following is a DFT calculation (SCAN) of Y2NiPt at its PBEsol-relaxed geometry.

abc: 4.2953 5.4353 5.4353
angles: 40.16 90.00 90.00
Atoms (fractional coordinates):
Y 0.0000 0.0000 0.0000
Y 0.5000 0.2807 0.2807
Ni 0.5000 0.5618 0.5618
Pt 0.0000 0.7169 0.7169

Summary:
ΔE_f = -975 meV per atom
space-group type = Amm2 (38)
total DFT energy (no corrections) = -36.49 eV per atom

The following is a DFT calculation (SCAN) of CoSeCl2 at its PBEsol-relaxed geometry.

abc: 2.8827 2.8827 8.8627
angles: 90.00 90.00 90.00
Atoms (fractional coordinates):
Co 0.0000 0.0000 0.0000
Se 0.5000 0.5000 0.1460
Cl 0.0000 0.0000 0.4557
Cl 0.5000 0.5000 0.8194

Summary:
formation energy without anion corrections = 0.198 eV/atom
space-group type = P4mm (99)
distance to the lowest polymorph of the same formula = 402 meV/atom
total DFT energy (no corrections) = -13.14 eV per atom

The following is a DFT calculation (SCAN) of Na4NiP2O7F2 at its PBEsol-relaxed geometry.

abc: 9.1510 9.1510 9.1510
angles: 134.96 69.58 129.96
Atoms (fractional coordinates):
Na 0.1872 0.0484 0.1388
Na 0.2332 0.0000 0.7332
Na 0.2332 0.5000 0.2332
Na 0.4096 0.0484 0.3612
Na 0.5904 0.9516 0.6388
Na 0.7668 0.0000 0.2668
Na 0.7668 0.5000 0.7668
Na 0.8128 0.9516 0.8612
Ni 0.0000 0.0000 0.5000
Ni 0.0000 0.5000 0.0000
P 0.1822 0.5292 0.6530
P 0.3762 0.5292 0.8470
P 0.6238 0.4708 0.1530
P 0.8178 0.4708 0.3470
O 0.0699 0.2373 0.4674
O 0.0699 0.6024 0.8326
O 0.2579 0.6732 0.5848
O 0.2698 0.2373 0.6674
O 0.2698 0.6024 0.0326
O 0.3790 0.6290 0.7500
O 0.4116 0.3268 0.0848
O 0.5884 0.6732 0.9152
O 0.6210 0.3710 0.2500
O 0.7302 0.3976 0.9674
O 0.7302 0.7627 0.3326
O 0.7421 0.3268 0.4152
O 0.9301 0.3976 0.1674
O 0.9301 0.7627 0.5326
F 0.0000 0.0000 0.0000
F 0.1171 0.8671 0.2500
F 0.5000 0.0000 0.5000
F 0.8829 0.1329 0.7500

Summary:
formation energy without anion corrections = -2.474 eV/atom
space-group type = Imma (74)
total DFT energy (no corrections) = -9.01 eV per atom